The following is a PBE-GGA calculation of a relaxed SrYTc crystal, from Alexandria via LeMat-Bulk.

Lattice parameters (Å, degrees): 4.9018 4.9018 3.8330 90.00 90.00 120.00
Space group P-6m2 (No. 187)
Inequivalent atoms, fractional coordinates:
Sr: 0.0000 0.0000 0.0000 [1 per cell]
Y: 0.3333 0.6667 0.5000 [1 per cell]
Tc: 0.6667 0.3333 0.5000 [1 per cell]

Output
DOS(E_F): 2.5 states/eV per cell
Crystal system: hexagonal
E_form: 0.6178 eV/atom
Energy above the lowest structure with this stoichiometry: 226.2 meV per atom

***

The following is a PBE-GGA calculation of a relaxed AlZnCr2Pb crystal, from Alexandria via LeMat-Bulk.

Lattice parameters (Å, degrees): 4.861 4.861 4.597 90.00 90.00 90.00
Space group P4/mmm (No. 123)
Inequivalent atoms, fractional coordinates:
Al: 0.000 0.000 0.000 [1 per cell]
Zn: 0.000 0.000 0.500 [1 per cell]
Cr: 0.000 0.500 0.500 [2 per cell]
Pb: 0.500 0.500 0.000 [1 per cell]

Output
DOS(E_F): 4.2 states/eV per cell
Crystal system: tetragonal
E_form: 0.7983 eV/atom

***

The following is a PBE-GGA calculation of a relaxed Pr8SmN6 crystal, from Alexandria via LeMat-Bulk.

Lattice parameters (Å, degrees): 6.3802 6.3802 28.1800 90.00 90.00 120.00
Space group R-3 (No. 148, hexagonal axes)
Inequivalent atoms, fractional coordinates:
Pr: 0.0000 0.0000 0.1667 [6 per cell]
Pr: 0.9995 0.3329 0.0655 [18 per cell]
Sm: 0.0000 0.0000 0.5000 [3 per cell]
N: 0.0000 0.3282 0.5556 [18 per cell]

Output
DOS(E_F): 24.1 states/eV per cell
Raw formation energy: -1.06 eV per atom
Crystal system: trigonal

***

The following is a PBE-GGA calculation of a relaxed KLiCo2 crystal, from Alexandria via LeMat-Bulk.

Lattice parameters (Å, degrees): 2.618 2.618 9.415 90.00 90.00 90.00
Space group P4/mmm (No. 123)
Inequivalent atoms, fractional coordinates:
K: 0.000 0.000 0.000 [1 per cell]
Li: 0.000 0.000 0.500 [1 per cell]
Co: 0.500 0.500 0.291 [2 per cell]

Output
DOS(E_F): 2.9 states/eV per cell
Crystal system: tetragonal
E_form: 0.8494 eV/atom
Energy above the lowest structure with this stoichiometry: 372.3 meV per atom

***

The following is a PBE-GGA calculation of a relaxed RbBI2O crystal, from Alexandria via LeMat-Bulk.

Lattice parameters (Å, degrees): 6.833 6.833 4.424 90.00 90.00 90.00
Space group P4/mmm (No. 123)
Inequivalent atoms, fractional coordinates:
Rb: 0.000 0.000 0.000 [1 per cell]
B: 0.500 0.500 0.500 [1 per cell]
I: 0.000 0.500 0.000 [2 per cell]
O: 0.000 0.000 0.500 [1 per cell]

Output
DOS(E_F): 6.1 states/eV per cell
Raw formation energy: 1.24 eV per atom
Crystal system: tetragonal
Energy above the lowest structure with this stoichiometry: 1558.3 meV per atom

***

The following is a PBE-GGA calculation of a relaxed UPa2Tc crystal, from Alexandria via LeMat-Bulk.

Lattice parameters (Å, degrees): 6.938 6.938 6.938 90.00 90.00 90.00
Space group Fm-3m (No. 225)
Inequivalent atoms, fractional coordinates:
U: 0.000 0.000 0.000 [4 per cell]
Pa: 0.250 0.250 0.250 [8 per cell]
Tc: 0.000 0.000 0.500 [4 per cell]

Output
DOS(E_F): 42.4 states/eV per cell
Crystal system: cubic
E_form: 0.0985 eV/atom
Energy above the lowest structure with this stoichiometry: 131.6 meV per atom